## AcNpPdS4 (PBE-GGA)

Data for a relaxed AcNpPdS4 crystal.

Structure (POSCAR):
```
AcNpPdS4
1.0
6.765 0.000 0.018
0.000 5.790 0.000
-2.625 0.000 7.847
Ac Np Pd S
2 2 2 8
direct
0.743 0.750 0.938 Ac
0.257 0.250 0.062 Ac
0.745 0.750 0.440 Np
0.255 0.250 0.560 Np
0.230 0.750 0.305 Pd
0.770 0.250 0.695 Pd
0.037 0.523 0.731 S
0.963 0.023 0.269 S
0.963 0.477 0.269 S
0.037 0.977 0.731 S
0.444 0.750 0.123 S
0.556 0.250 0.877 S
0.442 0.750 0.598 S
0.558 0.250 0.402 S
```

Results
Fermi-level density of states = 17.4 states/eV/cell
Formation energy without anion corrections = -1.29 eV per atom
ρ = 7.5 Mg/m³
Space-group type = P2_1/m (11)

---

## Sm2YGa6 (PBE-GGA)

Data for a relaxed Sm2YGa6 crystal.

Structure (POSCAR):
```
Sm2YGa6
1.0
4.366 0.000 0.000
0.000 7.062 0.000
-2.183 -3.531 6.752
Sm Y Ga
2 1 6
direct
0.872 0.872 0.744 Sm
0.128 0.128 0.256 Sm
0.000 0.500 0.000 Y
0.681 0.870 0.361 Ga
0.319 0.130 0.639 Ga
0.319 0.509 0.639 Ga
0.500 0.191 0.000 Ga
0.500 0.809 0.000 Ga
0.681 0.491 0.361 Ga
```

Results
Formation energy = -452 meV/atom
Fermi-level density of states = 5.2 states/eV/cell
Polymorph energy (0 for the lowest one) = 218.6 meV/atom
ρ = 6.4 Mg/m³
Space-group type = Immm (71)

---

## Y3HgO (PBE-GGA)

Data for a relaxed Y3HgO crystal.

Structure (POSCAR):
```
Y3HgO
1.0
-4.419 -0.656 5.100
-1.990 -1.150 -6.378
1.416 -5.403 0.533
Y Hg O
6 2 2
direct
0.853 0.253 0.252 Y
0.407 0.700 0.252 Y
0.627 0.587 0.752 Y
0.960 0.807 0.252 Y
0.520 0.033 0.752 Y
0.073 0.140 0.752 Y
0.406 0.253 0.252 Hg
0.073 0.586 0.752 Hg
0.740 0.920 0.502 O
0.740 0.920 0.002 O
```

Results
Fermi-level density of states = 1.7 states/eV/cell
Formation energy without anion corrections = -1.34 eV per atom
Polymorph energy (0 for the lowest one) = 57.3 meV/atom
ρ = 7.2 Mg/m³
Space-group type = P6_3/m (176)

---

## Mg3InAg4 (PBE-GGA)

Data for a relaxed Mg3InAg4 crystal.

Structure (POSCAR):
```
Mg3InAg4
1.0
-2.943 7.586 -1.221
-5.594 5.623 2.189
-1.341 7.442 3.242
Mg In Ag
3 1 4
direct
0.249 0.249 0.249 Mg
0.751 0.751 0.751 Mg
0.500 0.500 0.500 Mg
0.000 0.000 0.000 In
0.873 0.873 0.873 Ag
0.377 0.377 0.377 Ag
0.127 0.127 0.127 Ag
0.623 0.623 0.623 Ag
```

Results
Formation energy = -194 meV/atom
Fermi-level density of states = 2.7 states/eV/cell
Polymorph energy (0 for the lowest one) = 7.6 meV/atom
ρ = 6.8 Mg/m³
Space-group type = R-3m (166)

---

Please write out number 4 again, unchanged.
## Mg3InAg4 (PBE-GGA)

Data for a relaxed Mg3InAg4 crystal.

Structure (POSCAR):
```
Mg3InAg4
1.0
-2.943 7.586 -1.221
-5.594 5.623 2.189
-1.341 7.442 3.242
Mg In Ag
3 1 4
direct
0.249 0.249 0.249 Mg
0.751 0.751 0.751 Mg
0.500 0.500 0.500 Mg
0.000 0.000 0.000 In
0.873 0.873 0.873 Ag
0.377 0.377 0.377 Ag
0.127 0.127 0.127 Ag
0.623 0.623 0.623 Ag
```

Results
Formation energy = -194 meV/atom
Fermi-level density of states = 2.7 states/eV/cell
Polymorph energy (0 for the lowest one) = 7.6 meV/atom
ρ = 6.8 Mg/m³
Space-group type = R-3m (166)